(1)
Ca3BiAs2Pd9 | PBE | relaxed

Results
Crystal system: trigonal
Mass density: 6.9 g/cm3
Formation energy from the elements: -481 meV per atom
Raw total energy: -4.876 eV/atom

Lattice parameters (Å, degrees): 6.5080 6.5080 9.3896 90.00 90.00 120.00
Closest atoms and distances in Å follow each position.
Space group P-3m1 (No. 164)
Symmetry-distinct sites (fractional):
Ca (0.0000, 0.0000, 0.0000) [1 per cell]  12 Pd 2.99-3.25
Ca (0.3333, 0.6667, 0.7283) [2 per cell]  9 Pd 3.17-3.27
Bi (0.0000, 0.0000, 0.5000) [1 per cell]  6 Pd 2.70
As (0.3333, 0.6667, 0.1691) [2 per cell]  6 Pd 2.34-2.46
Pd (0.0000, 0.5000, 0.0000) [3 per cell]  2 As 2.46
Pd (0.1426, 0.2853, 0.2688) [6 per cell]  1 As 2.34



(2)
Ca2BiAsPd6 | PBE | relaxed

Results
Crystal system: orthorhombic
Mass density: 7.7 g/cm3
Formation energy from the elements: -552 meV per atom
Raw total energy: -4.921 eV/atom

Lattice parameters (Å, degrees): 5.6301 8.8993 8.6803 90.00 90.00 90.00
Closest atoms and distances in Å follow each position.
Space group Pmmn (No. 59, origin choice 2)
Symmetry-distinct sites (fractional):
Ca (0.2500, 0.0065, 0.2429) [4 per cell]  9 Pd 3.11-3.46
Bi (0.2500, 0.2500, 0.7817) [2 per cell]  6 Pd 2.66-2.77
As (0.2500, 0.7500, 0.7323) [2 per cell]  6 Pd 2.42-2.51
Pd (0.0007, 0.2500, 0.5061) [4 per cell]  1 As 2.51, 4 Pd 2.77-2.78, 1 Bi 2.77
Pd (0.0040, 0.7500, 0.9606) [4 per cell]  1 As 2.42, 1 Bi 2.66
Pd (0.2500, 0.5030, 0.6010) [4 per cell]  1 As 2.48, 1 Bi 2.74, 2 Pd 2.77



(3)
CaBi2As2Pd7 | PBE | relaxed

Results
Crystal system: monoclinic
Mass density: 9.2 g/cm3
Formation energy from the elements: -389 meV per atom
Raw total energy: -5.006 eV/atom

Lattice parameters (Å, degrees): 7.7388 5.7559 11.3699 90.00 106.14 90.00
Closest atoms and distances in Å follow each position.
Space group C2/m (No. 12)
Symmetry-distinct sites (fractional):
Ca (0.0000, 0.0000, 0.0000) [2 per cell]  10 Pd 2.88-3.02
Bi (0.2193, 0.0000, 0.3838) [4 per cell]  4 Pd 2.79-3.08
As (0.0862, 0.5000, 0.2259) [4 per cell]  6 Pd 2.42-2.55
Pd (0.0000, 0.5000, 0.0000) [2 per cell]  2 As 2.47
Pd (0.1380, 0.0000, 0.6087) [4 per cell]  1 As 2.42
Pd (0.1801, 0.2478, 0.8366) [8 per cell]  2 As 2.46-2.55



(4)
Ca3Bi2As2Pd4 | PBE | relaxed

Results
Crystal system: trigonal
Mass density: 7.5 g/cm3
Formation energy from the elements: -722 meV per atom
Raw total energy: -4.707 eV/atom

Lattice parameters (Å, degrees): 4.6015 4.6015 13.4326 90.00 90.00 120.00
Closest atoms and distances in Å follow each position.
Space group P-3m1 (No. 164)
Symmetry-distinct sites (fractional):
Ca (0.0000, 0.0000, 0.0000) [1 per cell]  6 Pd 3.21, 6 As 3.35, 2 Ca 3.46
Ca (0.0000, 0.0000, 0.2579) [2 per cell]  6 Pd 2.99-3.13, 3 As 3.01
Bi (0.3333, 0.6667, 0.5770) [2 per cell]  4 Pd 2.79-2.92
As (0.3333, 0.6667, 0.1523) [2 per cell]  4 Pd 2.67-2.79
Pd (0.3333, 0.6667, 0.3599) [2 per cell]  4 Bi 2.79-2.92, 1 As 2.79, 3 Ca 2.99
Pd (0.3333, 0.6667, 0.8656) [2 per cell]  3 As 2.67



(5)
Ca3PrBi2As | PBE | relaxed

Results
Crystal system: orthorhombic
Mass density: 5.0 g/cm3
Formation energy from the elements: -867 meV per atom
Raw total energy: -4.181 eV/atom

Lattice parameters (Å, degrees): 5.3734 5.6345 16.6302 90.00 90.00 90.00
Closest atoms and distances in Å follow each position.
Space group Immm (No. 71)
Symmetry-distinct sites (fractional):
Ca (0.0000, 0.0000, 0.0000) [2 per cell]  2 As 2.69
Ca (0.0000, 0.5000, 0.3242) [4 per cell]  1 As 2.92, 1 Bi 3.17
Pr (0.0000, 0.0000, 0.5000) [2 per cell]  2 As 2.82
Bi (0.0000, 0.5000, 0.1336) [4 per cell]  1 Ca 3.17, 2 Pr 3.49
As (0.0000, 0.5000, 0.5000) [2 per cell]  4 Ca 2.69-2.92, 2 Pr 2.82



(6)
CaBiAs2Rh5 | PBE | relaxed

Results
Crystal system: tetragonal
Mass density: 8.3 g/cm3
Formation energy from the elements: -355 meV per atom
Raw total energy: -6.126 eV/atom

Lattice parameters (Å, degrees): 4.0979 4.0979 10.9120 90.00 90.00 90.00
Closest atoms and distances in Å follow each position.
Space group P4/mmm (No. 123)
Symmetry-distinct sites (fractional):
Ca (0.0000, 0.0000, 0.0000) [1 per cell]  4 Rh 2.90
Bi (0.0000, 0.0000, 0.5000) [1 per cell]  8 Rh 2.75
As (0.5000, 0.5000, 0.2158) [2 per cell]  5 Rh 2.35-2.41
Rh (0.0000, 0.5000, 0.3324) [4 per cell]  2 As 2.41
Rh (0.5000, 0.5000, 0.0000) [1 per cell]  2 As 2.35



(7)
CaBiAsRh2 | PBE | relaxed

Results
Crystal system: tetragonal
Mass density: 7.2 g/cm3
Formation energy from the elements: 986 meV per atom
Raw total energy: -4.061 eV/atom

Lattice parameters (Å, degrees): 4.8781 4.8781 5.1550 90.00 90.00 90.00
Closest atoms and distances in Å follow each position.
Space group P4/mmm (No. 123)
Symmetry-distinct sites (fractional):
Ca (0.0000, 0.0000, 0.0000) [1 per cell]  4 Rh 2.44, 2 As 2.58
Bi (0.5000, 0.5000, 0.5000) [1 per cell]  4 As 3.45, 8 Rh 3.55
As (0.0000, 0.0000, 0.5000) [1 per cell]  2 Ca 2.58
Rh (0.0000, 0.5000, 0.0000) [2 per cell]  2 Ca 2.44



(8)
Ca2BiAs3Rh4 | PBE | relaxed

Results
Crystal system: tetragonal
Mass density: 7.9 g/cm3
Formation energy from the elements: -638 meV per atom
Raw total energy: -5.762 eV/atom

Lattice parameters (Å, degrees): 4.2237 4.2237 10.9453 90.00 90.00 90.00
Closest atoms and distances in Å follow each position.
Space group P-4m2 (No. 115)
Symmetry-distinct sites (fractional):
Ca (0.0000, 0.5000, 0.2365) [2 per cell]  8 Rh 3.22-3.34, 6 As 3.22-3.57, 2 Bi 3.57
Bi (0.0000, 0.0000, 0.5000) [1 per cell]  4 Rh 2.70, 4 As 2.99
As (0.0000, 0.5000, 0.8733) [2 per cell]  5 Rh 2.40-2.53
As (0.5000, 0.5000, 0.5000) [1 per cell]  4 Rh 2.70, 4 Bi 2.99
Rh (0.0000, 0.0000, 0.0000) [1 per cell]  4 As 2.53
Rh (0.0000, 0.5000, 0.6543) [2 per cell]  1 As 2.40
Rh (0.5000, 0.5000, 0.0000) [1 per cell]  4 As 2.53



(9)
Ca2ScBiAs | PBE | relaxed

Results
Crystal system: tetragonal
Mass density: 4.4 g/cm3
Formation energy from the elements: -719 meV per atom
Raw total energy: -4.492 eV/atom

Lattice parameters (Å, degrees): 5.5012 5.5012 5.1303 90.00 90.00 90.00
Closest atoms and distances in Å follow each position.
Space group P4/mmm (No. 123)
Symmetry-distinct sites (fractional):
Ca (0.0000, 0.5000, 0.0000) [2 per cell]  2 As 2.75
Sc (0.0000, 0.0000, 0.5000) [1 per cell]  2 As 2.57
Bi (0.5000, 0.5000, 0.5000) [1 per cell]  8 Ca 3.76, 4 Sc 3.89
As (0.0000, 0.0000, 0.0000) [1 per cell]  2 Sc 2.57, 4 Ca 2.75



(10)
CaBiAs2Se | PBE | relaxed

Results
Crystal system: tetragonal
Mass density: 4.9 g/cm3
ΔE to the lowest computed polymorph: 0 meV per atom
Formation energy without anion corrections: 0.18 eV/atom
Raw total energy: -3.554 eV/atom

Lattice parameters (Å, degrees): 5.3988 5.3988 5.5947 90.00 90.00 90.00
Closest atoms and distances in Å follow each position.
Space group P4/mmm (No. 123)
Symmetry-distinct sites (fractional):
Ca (0.0000, 0.0000, 0.0000) [1 per cell]  4 Se 3.82, 8 As 3.89
Bi (0.5000, 0.5000, 0.5000) [1 per cell]  4 As 2.70, 2 Se 2.80
As (0.0000, 0.5000, 0.5000) [2 per cell]  2 Bi 2.70
Se (0.5000, 0.5000, 0.0000) [1 per cell]  2 Bi 2.80



(11)
CaBiAs2Se | PBE | relaxed

Results
Crystal system: tetragonal
Mass density: 5.2 g/cm3
ΔE to the lowest computed polymorph: 283 meV per atom
Formation energy without anion corrections: 0.46 eV/atom
Raw total energy: -3.271 eV/atom

Lattice parameters (Å, degrees): 5.3741 5.3741 5.2846 90.00 90.00 90.00
Closest atoms and distances in Å follow each position.
Space group P4/mmm (No. 123)
Symmetry-distinct sites (fractional):
Ca (0.0000, 0.0000, 0.0000) [1 per cell]  2 Se 2.64, 4 As 2.69
Bi (0.5000, 0.5000, 0.5000) [1 per cell]  8 As 3.77, 4 Se 3.80
As (0.0000, 0.5000, 0.0000) [2 per cell]  2 Ca 2.69
Se (0.0000, 0.0000, 0.5000) [1 per cell]  2 Ca 2.64



(12)
SrCa2BiAs | PBE | relaxed

Results
Crystal system: tetragonal
Mass density: 4.2 g/cm3
Formation energy from the elements: -897 meV per atom
Raw total energy: -3.740 eV/atom

Lattice parameters (Å, degrees): 5.5422 5.5422 5.8701 90.00 90.00 90.00
Closest atoms and distances in Å follow each position.
Space group P4/mmm (No. 123)
Symmetry-distinct sites (fractional):
Sr (0.0000, 0.0000, 0.0000) [1 per cell]  2 As 2.94
Ca (0.0000, 0.5000, 0.5000) [2 per cell]  2 As 2.77
Bi (0.5000, 0.5000, 0.0000) [1 per cell]  4 Sr 3.92, 8 Ca 4.04
As (0.0000, 0.0000, 0.5000) [1 per cell]  4 Ca 2.77, 2 Sr 2.94



(13)
CaTl2BiAs | PBE | relaxed

Results
Crystal system: tetragonal
Mass density: 6.3 g/cm3
Formation energy from the elements: 336 meV per atom
Raw total energy: -2.717 eV/atom

Lattice parameters (Å, degrees): 5.8661 5.8661 5.6552 90.00 90.00 90.00
Closest atoms and distances in Å follow each position.
Space group P4/mmm (No. 123)
Symmetry-distinct sites (fractional):
Ca (0.0000, 0.0000, 0.0000) [1 per cell]  8 Tl 4.07, 4 As 4.15
Tl (0.0000, 0.5000, 0.5000) [2 per cell]  2 Bi 2.93
Bi (0.5000, 0.5000, 0.5000) [1 per cell]  2 As 2.83, 4 Tl 2.93
As (0.5000, 0.5000, 0.0000) [1 per cell]  2 Bi 2.83



(14)
Cd3BiAs | PBE | relaxed

Results
Crystal system: cubic
Mass density: 5.5 g/cm3
ΔE to the lowest computed polymorph: 675 meV per atom
Formation energy from the elements: 696 meV per atom
Raw total energy: -1.560 eV/atom

Lattice parameters (Å, degrees): 5.7367 5.7367 5.7367 90.00 90.00 90.00
Closest atoms and distances in Å follow each position.
Space group Pm-3m (No. 221)
Symmetry-distinct sites (fractional):
Cd (0.0000, 0.0000, 0.5000) [3 per cell]  2 Bi 2.87
Bi (0.0000, 0.0000, 0.0000) [1 per cell]  6 Cd 2.87
As (0.5000, 0.5000, 0.5000) [1 per cell]  12 Cd 4.06



(15)
CdBi2As | PBE | relaxed

Results
Crystal system: cubic
Mass density: 9.5 g/cm3
ΔE to the lowest computed polymorph: 3 meV per atom
Formation energy from the elements: 200 meV per atom
Raw total energy: -3.132 eV/atom

Lattice parameters (Å, degrees): 7.5123 7.5123 7.5123 90.00 90.00 90.00
Closest atoms and distances in Å follow each position.
Space group Fm-3m (No. 225)
Symmetry-distinct sites (fractional):
Cd (0.0000, 0.0000, 0.0000) [4 per cell]  8 Bi 3.25
Bi (0.2500, 0.2500, 0.2500) [8 per cell]  4 Cd 3.25, 4 As 3.25
As (0.0000, 0.0000, 0.5000) [4 per cell]  8 Bi 3.25



(16)
Cd4Bi2As | PBE | relaxed

Results
Crystal system: tetragonal
Mass density: 7.1 g/cm3
Formation energy from the elements: 224 meV per atom
Raw total energy: -2.072 eV/atom

Lattice parameters (Å, degrees): 5.4841 5.4841 14.5597 90.00 90.00 90.00
Closest atoms and distances in Å follow each position.
Space group I4/mmm (No. 139)
Symmetry-distinct sites (fractional):
Cd (0.0000, 0.0000, 0.1832) [4 per cell]  1 As 2.67, 1 Bi 2.86
Cd (0.0000, 0.5000, 0.0000) [4 per cell]  2 As 2.74
Bi (0.0000, 0.0000, 0.3794) [4 per cell]  1 Cd 2.86
As (0.0000, 0.0000, 0.0000) [2 per cell]  6 Cd 2.67-2.74



(17)
Cd2Bi2As | PBE | relaxed

Results
Crystal system: tetragonal
Mass density: 8.5 g/cm3
ΔE to the lowest computed polymorph: 0 meV per atom
Formation energy from the elements: 216 meV per atom
Raw total energy: -2.633 eV/atom

Lattice parameters (Å, degrees): 3.9981 3.9981 17.5352 90.00 90.00 90.00
Closest atoms and distances in Å follow each position.
Space group I4/mmm (No. 139)
Symmetry-distinct sites (fractional):
Cd (0.0000, 0.5000, 0.2500) [4 per cell]  4 Cd 2.83
Bi (0.0000, 0.0000, 0.0893) [4 per cell]  1 Bi 3.13, 4 As 3.23, 4 Cd 3.46
As (0.0000, 0.0000, 0.5000) [2 per cell]  8 Bi 3.23



(18)
Cd4BiAs | PBE | relaxed

Results
Crystal system: tetragonal
Mass density: 7.1 g/cm3
Formation energy from the elements: 79 meV per atom
Raw total energy: -1.953 eV/atom

Lattice parameters (Å, degrees): 4.8966 4.8966 7.1144 90.00 90.00 90.00
Closest atoms and distances in Å follow each position.
Space group P4/mmm (No. 123)
Symmetry-distinct sites (fractional):
Cd (0.0000, 0.5000, 0.2267) [4 per cell]  2 As 2.93, 2 Bi 3.13, 1 Cd 3.23
Bi (0.0000, 0.0000, 0.5000) [1 per cell]  8 Cd 3.13
As (0.5000, 0.5000, 0.0000) [1 per cell]  8 Cd 2.93



(19)
CdBi2As2 | PBE | relaxed

Results
Crystal system: tetragonal
Mass density: 7.9 g/cm3
ΔE to the lowest computed polymorph: 0 meV per atom
Formation energy from the elements: 119 meV per atom
Raw total energy: -3.476 eV/atom

Lattice parameters (Å, degrees): 5.9124 5.9124 8.1312 90.00 90.00 90.00
Closest atoms and distances in Å follow each position.
Space group I4/mmm (No. 139)
Symmetry-distinct sites (fractional):
Cd (0.0000, 0.0000, 0.0000) [2 per cell]  2 As 2.64
Bi (0.0000, 0.5000, 0.2500) [4 per cell]  4 As 3.02
As (0.0000, 0.0000, 0.3248) [4 per cell]  1 Cd 2.64, 1 As 2.85



(20)
Cd2Bi2As | PBE | relaxed

Results
Crystal system: tetragonal
Mass density: 8.7 g/cm3
ΔE to the lowest computed polymorph: 10 meV per atom
Formation energy from the elements: 226 meV per atom
Raw total energy: -2.623 eV/atom

Lattice parameters (Å, degrees): 7.3939 7.3939 4.9837 90.00 90.00 90.00
Closest atoms and distances in Å follow each position.
Space group P4/mbm (No. 127)
Symmetry-distinct sites (fractional):
Cd (0.1435, 0.3565, 0.0000) [4 per cell]  2 As 2.84, 1 Cd 3.00
Bi (0.1576, 0.6576, 0.5000) [4 per cell]  6 Cd 3.25-3.34, 1 Bi 3.30
As (0.0000, 0.0000, 0.0000) [2 per cell]  4 Cd 2.84